12
Lattice="-2.967 1.114 5.683 -0.901 -3.856 5.163 3.616 1.092 3.935" Properties=species:S:1:pos:R:3 comment="CaVF4 (PBE with a Hubbard U, optimized geometry)" total_energy_ev_per_atom=-6.067 volume_a3_per_cell=160.16 magmom_total_mub_per_cell=6.0 e_above_lowest_polymorph_mev_per_atom=32 pbc="T T T"
F -1.273 -1.266 4.334
V -0.450 -1.928 2.582
V 0.325 1.103 4.809
F -2.739 -2.353 9.847
F 0.809 -0.155 2.934
Ca 0.259 0.697 8.505
Ca -0.510 -2.348 6.276
F -0.587 -1.409 8.430
F 1.023 -0.384 10.447
F 2.488 0.703 4.935
F 0.336 -0.241 6.352
F -1.060 -1.495 11.847